No. 1
Material: Zr2SiRu
Method: DFT, GGA-PBE
State: relaxed

a b c (Å): 8.280 8.280 8.280
angles (deg): 23.04 23.04 23.04
Positions (direct):
Zr (0.012, 0.012, 0.012)
Zr (0.243, 0.243, 0.243)
Ru (0.484, 0.484, 0.484)
Si (0.761, 0.761, 0.761)

Computed properties:
The calculated total energy is -32.5 eV for the cell shown. Its crystal system is trigonal. Its formation energy (no corrections) is -0.181 eV per atom. Its space-group type is R3m.


No. 2
Material: ZrSi2Ru
Method: DFT, GGA-PBE
State: relaxed

a b c (Å): 2.980 2.980 6.778
angles (deg): 90.00 90.00 90.00
Positions (direct):
Zr (0.500, 0.500, 0.250)
Si (0.000, 0.000, 0.961)
Si (0.000, 0.000, 0.539)
Ru (0.500, 0.500, 0.750)

Computed properties:
The calculated total energy is -31.1 eV for the cell shown. Its crystal system is tetragonal. Its formation energy (no corrections) is -0.600 eV per atom. Its space-group type is P4/mmm.